Material: AcHg2MoO6
Method: DFT, PBE with a Hubbard U
State: optimized geometry

## Properties
Volume ... 15.82 Å³/atom
Calculated density ... 8.6 g cm⁻³
Uncorrected energy ... -5.634 eV/atom
D(E_F) ... 3.22 states/eV/cell

a = 6.196 Å, b = 6.196 Å, c = 6.196 Å
α = 57.41°, β = 57.41°, γ = 57.41°
Atoms (fractional coordinates):
Ac 0.000 0.000 0.000
Hg 0.247 0.247 0.247
Hg 0.735 0.735 0.735
Mo 0.504 0.504 0.504
O 0.211 0.375 0.741
O 0.322 0.854 0.599
O 0.375 0.741 0.211
O 0.599 0.322 0.854
O 0.741 0.211 0.375
O 0.854 0.599 0.322